[1]
# FeAsPt2

A relaxed FeAsPt2 crystal (GGA-PBE, Alexandria).

Lattice parameters (Å, degrees): 4.806 4.806 4.621 86.87 86.87 35.47
Atoms (fractional coordinates):
As (0.492, 0.492, 0.514)
Fe (0.269, 0.269, 0.223)
Pt (0.001, 0.001, 0.034)
Pt (0.737, 0.737, 0.730)

Calculated values
* total magnetic moment: 0.85 μB per atom
* SG: Cm
* energy of formation: -0.050 eV/atom
* crystal system: monoclinic

***

[2]
# FeAsPt2

A relaxed FeAsPt2 crystal (GGA-PBE, Alexandria).

Lattice parameters (Å, degrees): 5.000 5.000 5.000 139.73 129.76 66.26
Atoms (fractional coordinates):
As (0.506, 0.506, 0.000)
Fe (0.277, 0.777, 0.500)
Pt (0.993, 0.993, 0.000)
Pt (0.725, 0.225, 0.500)

Calculated values
* total magnetic moment: 0.82 μB per atom
* SG: Imm2
* energy of formation: -0.052 eV/atom
* crystal system: orthorhombic

***

[3]
# FeAsPt2

A relaxed FeAsPt2 crystal (GGA-PBE, Alexandria).

Lattice parameters (Å, degrees): 4.025 3.894 3.894 90.00 90.00 90.00
Atoms (fractional coordinates):
As (0.500, 0.500, 0.000)
Fe (0.500, 0.000, 0.500)
Pt (0.000, 0.000, 0.000)
Pt (0.000, 0.500, 0.500)

Calculated values
* total magnetic moment: 0.82 μB per atom
* SG: P4/mmm
* energy of formation: -0.015 eV/atom
* crystal system: tetragonal

***

[4]
# FeAsPt4

A relaxed FeAsPt4 crystal (GGA-PBE, Alexandria).

Lattice parameters (Å, degrees): 5.269 5.269 5.269 60.00 60.00 60.00
Atoms (fractional coordinates):
Fe (0.000, 0.000, 0.000)
As (0.750, 0.750, 0.750)
Pt (0.876, 0.375, 0.375)
Pt (0.375, 0.375, 0.876)
Pt (0.375, 0.876, 0.375)
Pt (0.375, 0.375, 0.375)

Calculated values
* total magnetic moment: 0.65 μB per atom
* SG: F-43m
* energy of formation: 0.289 eV/atom
* crystal system: cubic

***

[5]
# FeAsPt2

A relaxed FeAsPt2 crystal (GGA-PBE, Alexandria).

Lattice parameters (Å, degrees): 8.540 8.540 8.540 19.37 19.37 19.37
Atoms (fractional coordinates):
As (0.494, 0.494, 0.494)
Fe (0.754, 0.754, 0.754)
Pt (0.006, 0.006, 0.006)
Pt (0.245, 0.245, 0.245)

Calculated values
* total magnetic moment: 0.64 μB per atom
* SG: R3m
* energy of formation: 0.003 eV/atom
* crystal system: trigonal

***

[6]
# FeAsPt2

A relaxed FeAsPt2 crystal (GGA-PBE, Alexandria).

Lattice parameters (Å, degrees): 2.844 3.692 5.798 90.00 90.00 90.00
Atoms (fractional coordinates):
As (0.000, 0.000, 0.506)
Fe (0.500, 0.500, 0.761)
Pt (0.000, 0.000, 0.971)
Pt (0.500, 0.500, 0.261)

Calculated values
* total magnetic moment: 0.78 μB per atom
* SG: Pmm2
* energy of formation: -0.038 eV/atom
* crystal system: orthorhombic

***

[7]
# FeAsPt2

A relaxed FeAsPt2 crystal (GGA-PBE, Alexandria).

Lattice parameters (Å, degrees): 4.677 4.677 4.772 81.91 81.91 36.32
Atoms (fractional coordinates):
As (0.750, 0.750, 0.750)
Fe (0.250, 0.250, 0.250)
Pt (0.993, 0.993, 0.008)
Pt (0.507, 0.507, 0.492)

Calculated values
* total magnetic moment: 0.81 μB per atom
* SG: C2/m
* energy of formation: -0.057 eV/atom
* crystal system: monoclinic

***

[8]
# FeAsPt2

A relaxed FeAsPt2 crystal (GGA-PBE, Alexandria).

Lattice parameters (Å, degrees): 3.723 2.989 6.268 61.59 90.00 90.00
Atoms (fractional coordinates):
As (0.500, 0.250, 0.250)
Fe (0.500, 0.750, 0.750)
Pt (0.000, 0.009, 0.991)
Pt (0.000, 0.491, 0.509)

Calculated values
* total magnetic moment: 0.83 μB per atom
* SG: Pmmm
* energy of formation: -0.098 eV/atom
* crystal system: orthorhombic

***

[9]
# FeAs2PtSe

A relaxed FeAs2PtSe crystal (GGA-PBE, Alexandria).

Lattice parameters (Å, degrees): 4.385 4.385 4.861 90.00 90.00 90.00
Atoms (fractional coordinates):
As (0.000, 0.500, 0.000)
As (0.500, 0.000, 0.000)
Se (0.000, 0.000, 0.500)
Pt (0.500, 0.500, 0.500)
Fe (0.000, 0.000, 0.000)

Calculated values
* total magnetic moment: 0.00 μB per atom
* SG: P4/mmm
* E above lowest polymorph: 0.0 meV per atom
* crystal system: tetragonal
* energy relative to the elements, uncorrected: 0.5347 eV per atom

***

[10]
# PuFe4As12

A relaxed PuFe4As12 crystal (GGA-PBE, Alexandria).

Lattice parameters (Å, degrees): 7.205 7.205 7.205 109.47 109.47 109.47
Atoms (fractional coordinates):
Pu (0.000, 0.000, 0.000)
Fe (0.000, 0.500, 0.000)
Fe (0.500, 0.000, 0.000)
Fe (0.500, 0.500, 0.500)
Fe (0.000, 0.000, 0.500)
As (0.844, 0.342, 0.186)
As (0.342, 0.497, 0.156)
As (0.814, 0.156, 0.658)
As (0.342, 0.186, 0.844)
As (0.186, 0.844, 0.342)
As (0.658, 0.503, 0.844)
As (0.497, 0.156, 0.342)
As (0.503, 0.844, 0.658)
As (0.658, 0.814, 0.156)
As (0.844, 0.658, 0.503)
As (0.156, 0.342, 0.497)
As (0.156, 0.658, 0.814)

Calculated values
* total magnetic moment: 0.24 μB per atom
* SG: Im-3
* energy of formation: -0.354 eV/atom
* crystal system: cubic

***

[11]
# Pu2FeAs

A relaxed Pu2FeAs crystal (GGA-PBE, Alexandria).

Lattice parameters (Å, degrees): 3.731 3.731 5.704 90.00 90.00 90.00
Atoms (fractional coordinates):
As (0.500, 0.500, 0.000)
Fe (0.500, 0.500, 0.500)
Pu (0.000, 0.000, 0.750)
Pu (0.000, 0.000, 0.250)

Calculated values
* total magnetic moment: 2.19 μB per atom
* SG: P4/mmm
* energy of formation: -0.365 eV/atom
* crystal system: tetragonal

***

[12]
# Pu2FeAs

A relaxed Pu2FeAs crystal (GGA-PBE, Alexandria).

Lattice parameters (Å, degrees): 5.003 3.526 3.526 90.00 90.00 90.00
Atoms (fractional coordinates):
As (0.500, 0.500, 0.500)
Fe (0.500, 0.000, 0.000)
Pu (0.000, 0.000, 0.500)
Pu (0.000, 0.500, 0.000)

Calculated values
* total magnetic moment: 0.38 μB per atom
* SG: P4/mmm
* energy of formation: 0.078 eV/atom
* crystal system: tetragonal